## P
Crystalline LaCo2Re2 at its relaxed geometry, computed with PBE.

Properties
* crystal system: tetragonal
* magnetic moment: 0.00 μB per formula unit

```
data_LaCo2Re2
_chemical_formula_sum 'La2 Co4 Re4'
_symmetry_space_group_name_H-M 'I 4/m m m'
_symmetry_Int_Tables_number 139
_symmetry_space_group_name_Hall '-I 4 2'
_cell_length_a 4.171
_cell_length_b 4.171
_cell_length_c 10.114
_cell_angle_alpha 90.00
_cell_angle_beta 90.00
_cell_angle_gamma 90.00
loop_
_atom_site_label
_atom_site_fract_x
_atom_site_fract_y
_atom_site_fract_z
La1 0.000 0.000 0.000
Co1 0.000 0.500 0.250
Re1 0.000 0.000 0.377
```



## Q
Crystalline LaCo2Re2 at its relaxed geometry, computed with PBE.

Properties
* crystal system: tetragonal
* magnetic moment: 0.00 μB per formula unit

```
data_LaCo2Re2
_chemical_formula_sum 'La2 Co4 Re4'
_symmetry_space_group_name_H-M 'I 4/m m m'
_symmetry_Int_Tables_number 139
_symmetry_space_group_name_Hall '-I 4 2'
_cell_length_a 3.850
_cell_length_b 3.850
_cell_length_c 11.393
_cell_angle_alpha 90.00
_cell_angle_beta 90.00
_cell_angle_gamma 90.00
loop_
_atom_site_label
_atom_site_fract_x
_atom_site_fract_y
_atom_site_fract_z
La1 0.000 0.000 0.000
Co1 0.000 0.000 0.390
Re1 0.000 0.500 0.250
```



Stability comparison, relative energies in meV per atom: P 103; Q 0